1.
A relaxed CaSiAs2 crystal. Source: Alexandria, functional GGA-PBEsol.

Total DFT energy (no corrections) (eV for the cell shown): -71.90

```
data_CaSiAs2
_cell_length_a 6.880
_cell_length_b 6.880
_cell_length_c 6.880
_cell_angle_alpha 90.00
_cell_angle_beta 90.00
_cell_angle_gamma 90.00
_space_group_name_H-M_alt 'P 1'
_space_group_IT_number 1
_space_group_name_Hall 'P 1'
loop_
_atom_site_label
_atom_site_fract_x
_atom_site_fract_y
_atom_site_fract_z
_atom_site_occupancy
Ca1 0.000 0.000 0.000 1
Ca2 0.000 0.500 0.500 1
Ca3 0.500 0.000 0.500 1
Ca4 0.500 0.500 0.000 1
Si1 0.250 0.250 0.250 1
Si2 0.250 0.750 0.750 1
Si3 0.750 0.250 0.750 1
Si4 0.750 0.750 0.250 1
As1 0.000 0.000 0.500 1
As2 0.000 0.500 0.000 1
As3 0.250 0.250 0.750 1
As4 0.250 0.750 0.250 1
As5 0.500 0.000 0.000 1
As6 0.500 0.500 0.500 1
As7 0.750 0.250 0.250 1
As8 0.750 0.750 0.750 1
```


2.
A relaxed BeCoRu2 crystal. Source: Alexandria, functional GGA-PBEsol.

Formation energy (eV/atom): -0.07

```
data_BeCoRu2
_cell_length_a 2.749
_cell_length_b 4.013
_cell_length_c 7.983
_cell_angle_alpha 90.00
_cell_angle_beta 90.00
_cell_angle_gamma 90.00
_space_group_name_H-M_alt 'P 1'
_space_group_IT_number 1
_space_group_name_Hall 'P 1'
loop_
_atom_site_label
_atom_site_fract_x
_atom_site_fract_y
_atom_site_fract_z
_atom_site_occupancy
Be1 0.000 0.000 0.000 1
Be2 0.500 0.500 0.500 1
Co1 0.000 0.500 0.712 1
Co2 0.500 0.000 0.212 1
Ru1 0.000 0.000 0.486 1
Ru2 0.000 0.500 0.260 1
Ru3 0.500 0.000 0.760 1
Ru4 0.500 0.500 0.986 1
```


3.
A relaxed La3Ta2N6 crystal. Source: Alexandria, functional GGA-PBEsol.

Total DFT energy (no corrections) (eV for the cell shown): -109.51

```
data_La3Ta2N6
_cell_length_a 10.383
_cell_length_b 10.383
_cell_length_c 10.383
_cell_angle_alpha 157.52
_cell_angle_beta 157.52
_cell_angle_gamma 32.00
_space_group_name_H-M_alt 'P 1'
_space_group_IT_number 1
_space_group_name_Hall 'P 1'
loop_
_atom_site_label
_atom_site_fract_x
_atom_site_fract_y
_atom_site_fract_z
_atom_site_occupancy
La1 0.000 0.000 0.000 1
La2 0.180 0.180 0.000 1
La3 0.820 0.820 0.000 1
Ta1 0.400 0.400 0.000 1
Ta2 0.600 0.600 0.000 1
N1 0.085 0.585 0.500 1
N2 0.302 0.302 0.000 1
N3 0.415 0.915 0.500 1
N4 0.585 0.085 0.500 1
N5 0.698 0.698 0.000 1
N6 0.915 0.415 0.500 1
```


4.
A relaxed SrHf2S crystal. Source: Alexandria, functional GGA-PBEsol.

Total DFT energy (no corrections) (eV for the cell shown): -106.08

```
data_SrHf2S
_cell_length_a 5.110
_cell_length_b 5.110
_cell_length_c 17.971
_cell_angle_alpha 90.00
_cell_angle_beta 90.00
_cell_angle_gamma 90.00
_space_group_name_H-M_alt 'P 1'
_space_group_IT_number 1
_space_group_name_Hall 'P 1'
loop_
_atom_site_label
_atom_site_fract_x
_atom_site_fract_y
_atom_site_fract_z
_atom_site_occupancy
Sr1 0.000 0.000 0.000 1
Sr2 0.000 0.500 0.250 1
Sr3 0.500 0.000 0.750 1
Sr4 0.500 0.500 0.500 1
Hf1 0.007 0.750 0.625 1
Hf2 0.250 0.007 0.375 1
Hf3 0.250 0.493 0.875 1
Hf4 0.493 0.750 0.125 1
Hf5 0.507 0.250 0.125 1
Hf6 0.750 0.507 0.875 1
Hf7 0.750 0.993 0.375 1
Hf8 0.993 0.250 0.625 1
S1 0.000 0.000 0.500 1
S2 0.000 0.500 0.750 1
S3 0.500 0.000 0.250 1
S4 0.500 0.500 0.000 1
```


5.
A relaxed GaGeTe2N crystal. Source: Alexandria, functional GGA-PBEsol.

Total DFT energy (no corrections) (eV for the cell shown): -20.93

```
data_GaGeTe2N
_cell_length_a 5.706
_cell_length_b 5.706
_cell_length_c 3.459
_cell_angle_alpha 90.00
_cell_angle_beta 90.00
_cell_angle_gamma 90.00
_space_group_name_H-M_alt 'P 1'
_space_group_IT_number 1
_space_group_name_Hall 'P 1'
loop_
_atom_site_label
_atom_site_fract_x
_atom_site_fract_y
_atom_site_fract_z
_atom_site_occupancy
Ga1 0.000 0.000 0.000 1
Ge1 0.500 0.500 0.500 1
Te1 0.000 0.500 0.000 1
Te2 0.500 0.000 0.000 1
N1 0.000 0.000 0.500 1
```


6.
A relaxed Mg3BeMo crystal. Source: Alexandria, functional GGA-PBEsol.

Formation energy (eV/atom): 1.65

```
data_Mg3BeMo
_cell_length_a 5.100
_cell_length_b 5.100
_cell_length_c 5.100
_cell_angle_alpha 90.00
_cell_angle_beta 90.00
_cell_angle_gamma 90.00
_space_group_name_H-M_alt 'P 1'
_space_group_IT_number 1
_space_group_name_Hall 'P 1'
loop_
_atom_site_label
_atom_site_fract_x
_atom_site_fract_y
_atom_site_fract_z
_atom_site_occupancy
Mg1 0.000 0.000 0.500 1
Mg2 0.000 0.500 0.000 1
Mg3 0.500 0.000 0.000 1
Be1 0.500 0.500 0.500 1
Mo1 0.000 0.000 0.000 1
```


7.
A relaxed NaLaTi8Cu6O24 crystal. Source: Alexandria, functional GGA-PBEsol.

Total DFT energy (no corrections) (eV for the cell shown): -317.00

```
data_NaLaTi8Cu6O24
_cell_length_a 7.386
_cell_length_b 7.386
_cell_length_c 7.386
_cell_angle_alpha 90.00
_cell_angle_beta 90.00
_cell_angle_gamma 90.00
_space_group_name_H-M_alt 'P 1'
_space_group_IT_number 1
_space_group_name_Hall 'P 1'
loop_
_atom_site_label
_atom_site_fract_x
_atom_site_fract_y
_atom_site_fract_z
_atom_site_occupancy
Na1 0.000 0.000 0.000 1
La1 0.500 0.500 0.500 1
Ti1 0.245 0.245 0.245 1
Ti2 0.245 0.245 0.755 1
Ti3 0.245 0.755 0.245 1
Ti4 0.245 0.755 0.755 1
Ti5 0.755 0.245 0.245 1
Ti6 0.755 0.245 0.755 1
Ti7 0.755 0.755 0.245 1
Ti8 0.755 0.755 0.755 1
Cu1 0.000 0.000 0.500 1
Cu2 0.000 0.500 0.000 1
Cu3 0.000 0.500 0.500 1
Cu4 0.500 0.000 0.000 1
Cu5 0.500 0.000 0.500 1
Cu6 0.500 0.500 0.000 1
O1 0.000 0.307 0.178 1
O2 0.000 0.307 0.822 1
O3 0.000 0.693 0.178 1
O4 0.000 0.693 0.822 1
O5 0.178 0.000 0.307 1
O6 0.178 0.000 0.693 1
O7 0.197 0.323 0.500 1
O8 0.197 0.677 0.500 1
O9 0.307 0.178 0.000 1
O10 0.307 0.822 0.000 1
O11 0.323 0.500 0.197 1
O12 0.323 0.500 0.803 1
O13 0.500 0.197 0.323 1
O14 0.500 0.197 0.677 1
O15 0.500 0.803 0.323 1
O16 0.500 0.803 0.677 1
O17 0.677 0.500 0.197 1
O18 0.677 0.500 0.803 1
O19 0.693 0.178 0.000 1
O20 0.693 0.822 0.000 1
O21 0.803 0.323 0.500 1
O22 0.803 0.677 0.500 1
O23 0.822 0.000 0.307 1
O24 0.822 0.000 0.693 1
```


8.
A relaxed NdCo2 crystal. Source: Alexandria, functional GGA-PBEsol.

Formation energy (eV/atom): -0.04

```
data_NdCo2
_cell_length_a 5.046
_cell_length_b 5.046
_cell_length_c 5.046
_cell_angle_alpha 60.00
_cell_angle_beta 60.00
_cell_angle_gamma 60.00
_space_group_name_H-M_alt 'P 1'
_space_group_IT_number 1
_space_group_name_Hall 'P 1'
loop_
_atom_site_label
_atom_site_fract_x
_atom_site_fract_y
_atom_site_fract_z
_atom_site_occupancy
Nd1 0.125 0.125 0.125 1
Nd2 0.875 0.875 0.875 1
Co1 0.000 0.500 0.500 1
Co2 0.500 0.000 0.500 1
Co3 0.500 0.500 0.000 1
Co4 0.500 0.500 0.500 1
```


9.
A relaxed PuUC2 crystal. Source: Alexandria, functional GGA-PBEsol.

Formation energy (eV/atom): 0.03

```
data_PuUC2
_cell_length_a 3.500
_cell_length_b 3.500
_cell_length_c 16.679
_cell_angle_alpha 90.00
_cell_angle_beta 90.00
_cell_angle_gamma 120.00
_space_group_name_H-M_alt 'P 1'
_space_group_IT_number 1
_space_group_name_Hall 'P 1'
loop_
_atom_site_label
_atom_site_fract_x
_atom_site_fract_y
_atom_site_fract_z
_atom_site_occupancy
Pu1 0.000 0.000 0.000 1
Pu2 0.333 0.667 0.667 1
Pu3 0.667 0.333 0.333 1
U1 0.000 0.000 0.500 1
U2 0.333 0.667 0.167 1
U3 0.667 0.333 0.833 1
C1 0.000 0.000 0.242 1
C2 0.000 0.000 0.758 1
C3 0.333 0.667 0.425 1
C4 0.333 0.667 0.909 1
C5 0.667 0.333 0.091 1
C6 0.667 0.333 0.575 1
```


10.
A relaxed Li8SiO6 crystal. Source: Alexandria, functional GGA-PBEsol.

Total DFT energy (no corrections) (eV for the cell shown): -171.40

```
data_Li8SiO6
_cell_length_a 5.389
_cell_length_b 5.389
_cell_length_c 10.604
_cell_angle_alpha 90.00
_cell_angle_beta 90.00
_cell_angle_gamma 120.00
_space_group_name_H-M_alt 'P 1'
_space_group_IT_number 1
_space_group_name_Hall 'P 1'
loop_
_atom_site_label
_atom_site_fract_x
_atom_site_fract_y
_atom_site_fract_z
_atom_site_occupancy
Li1 0.000 0.307 0.000 1
Li2 0.000 0.395 0.641 1
Li3 0.000 0.605 0.141 1
Li4 0.000 0.693 0.500 1
Li5 0.307 0.000 0.000 1
Li6 0.307 0.307 0.500 1
Li7 0.333 0.667 0.359 1
Li8 0.333 0.667 0.859 1
Li9 0.395 0.000 0.641 1
Li10 0.395 0.395 0.141 1
Li11 0.605 0.000 0.141 1
Li12 0.605 0.605 0.641 1
Li13 0.667 0.333 0.359 1
Li14 0.667 0.333 0.859 1
Li15 0.693 0.000 0.500 1
Li16 0.693 0.693 0.000 1
Si1 0.000 0.000 0.271 1
Si2 0.000 0.000 0.771 1
O1 0.000 0.000 0.112 1
O2 0.000 0.000 0.612 1
O3 0.000 0.290 0.817 1
O4 0.000 0.710 0.317 1
O5 0.290 0.000 0.817 1
O6 0.290 0.290 0.317 1
O7 0.333 0.667 0.050 1
O8 0.333 0.667 0.550 1
O9 0.667 0.333 0.050 1
O10 0.667 0.333 0.550 1
O11 0.710 0.000 0.317 1
O12 0.710 0.710 0.817 1
```


11.
A relaxed AlTeRu2Au crystal. Source: Alexandria, functional GGA-PBEsol.

Total DFT energy (no corrections) (eV for the cell shown): -24.86

```
data_AlTeRu2Au
_cell_length_a 4.919
_cell_length_b 4.919
_cell_length_c 4.526
_cell_angle_alpha 90.00
_cell_angle_beta 90.00
_cell_angle_gamma 90.00
_space_group_name_H-M_alt 'P 1'
_space_group_IT_number 1
_space_group_name_Hall 'P 1'
loop_
_atom_site_label
_atom_site_fract_x
_atom_site_fract_y
_atom_site_fract_z
_atom_site_occupancy
Al1 0.000 0.000 0.000 1
Te1 0.500 0.500 0.000 1
Ru1 0.000 0.500 0.500 1
Ru2 0.500 0.000 0.500 1
Au1 0.000 0.000 0.500 1
```


12.
A relaxed SrLiTc2 crystal. Source: Alexandria, functional GGA-PBEsol.

Formation energy (eV/atom): 1.00
E above lowest polymorph (meV per atom): 260.1

```
data_SrLiTc2
_cell_length_a 2.755
_cell_length_b 2.755
_cell_length_c 30.774
_cell_angle_alpha 90.00
_cell_angle_beta 90.00
_cell_angle_gamma 120.00
_space_group_name_H-M_alt 'P 1'
_space_group_IT_number 1
_space_group_name_Hall 'P 1'
loop_
_atom_site_label
_atom_site_fract_x
_atom_site_fract_y
_atom_site_fract_z
_atom_site_occupancy
Sr1 0.000 0.000 0.000 1
Sr2 0.333 0.667 0.667 1
Sr3 0.667 0.333 0.333 1
Li1 0.000 0.000 0.500 1
Li2 0.333 0.667 0.167 1
Li3 0.667 0.333 0.833 1
Tc1 0.000 0.000 0.242 1
Tc2 0.000 0.000 0.758 1
Tc3 0.333 0.667 0.424 1
Tc4 0.333 0.667 0.909 1
Tc5 0.667 0.333 0.091 1
Tc6 0.667 0.333 0.576 1
```


| no. | volume (Å³ per cell) |
| --- | --- |
| 1 | 325.7 |
| 2 | 88.1 |
| 3 | 163.5 |
| 4 | 469.3 |
| 5 | 112.6 |
| 6 | 132.7 |
| 7 | 402.9 |
| 8 | 90.8 |
| 9 | 176.9 |
| 10 | 266.7 |
| 11 | 109.5 |
| 12 | 202.3 |